(1)
{
  "formula": "Ac2HoP3Pt12",
  "functional": "PBE",
  "state": "relaxed",
  "lattice_angstrom": [[7.9020, -0.2303, -0.1633], [3.7022, 6.9849, -0.1633], [3.7022, 2.1550, 6.6462]],
  "species": ["Pt", "Pt", "Pt", "Pt", "Pt", "Pt", "Pt", "Pt", "Pt", "Pt", "Pt", "Pt", "Ho", "P", "P", "P", "Ac", "Ac"],
  "fractional_positions": [[0.3351, 0.9002, 0.3351], [0.9002, 0.3351, 0.3351], [0.3351, 0.3351, 0.9002], [0.6649, 0.0998, 0.6649], [0.1330, 0.6034, 0.1330], [0.8670, 0.3966, 0.8670], [0.0998, 0.6649, 0.6649], [0.6034, 0.1330, 0.1330], [0.8670, 0.8670, 0.3966], [0.3966, 0.8670, 0.8670], [0.6649, 0.6649, 0.0998], [0.1330, 0.1330, 0.6034], [0.0000, 0.0000, 0.0000], [0.0000, 0.5000, 0.0000], [0.5000, 0.0000, 0.0000], [0.0000, 0.0000, 0.5000], [0.3951, 0.3951, 0.3951], [0.6049, 0.6049, 0.6049]],
  "n_ef_per_ev_atom": 0.38,
  "m_tot_mub_per_fu": 0.00,
  "delta_e_f_ev_per_atom": -0.52,
  "volume_a3_per_atom": 21.0
}



(2)
{
  "formula": "LiBi4Pd2",
  "functional": "PBE",
  "state": "relaxed",
  "lattice_angstrom": [[4.3358, 0.0000, 1.4037], [1.9407, 3.8772, 1.4037], [-0.8829, -0.5454, 10.1254]],
  "species": ["Bi", "Bi", "Bi", "Bi", "Li", "Pd", "Pd"],
  "fractional_positions": [[0.6152, 0.6152, 0.1544], [0.7954, 0.7954, 0.6138], [0.2046, 0.2046, 0.3862], [0.3848, 0.3848, 0.8456], [0.0000, 0.0000, 0.0000], [0.0923, 0.0923, 0.7231], [0.9077, 0.9077, 0.2769]],
  "n_ef_per_ev_atom": 0.35,
  "polymorph_energy_ev_per_atom": 0.0000,
  "m_tot_mub_per_fu": 0.00,
  "delta_e_f_ev_per_atom": -0.31,
  "volume_a3_per_atom": 25.3
}



(3)
{
  "formula": "Tm4Ni2Ru",
  "functional": "PBE",
  "state": "relaxed",
  "lattice_angstrom": [[-1.9820, 6.4070, 3.1567], [2.5668, -4.6547, 5.1660], [5.3142, 1.2737, -5.0083]],
  "species": ["Ni", "Ni", "Ni", "Ni", "Tm", "Tm", "Tm", "Tm", "Tm", "Tm", "Tm", "Tm", "Ru", "Ru"],
  "fractional_positions": [[0.6255, 0.8750, 0.2505], [0.1250, 0.3754, 0.7504], [0.6250, 0.3746, 0.2496], [0.6245, 0.3750, 0.7495], [0.9323, 0.6259, 0.6929], [0.4895, 0.6830, 0.8072], [0.7605, 0.0676, 0.6936], [0.3741, 0.0670, 0.3064], [0.3170, 0.1241, 0.8064], [0.3177, 0.5105, 0.1936], [0.8759, 0.6823, 0.1928], [0.9330, 0.2395, 0.3071], [0.0001, 0.0001, 0.0000], [0.2499, 0.7499, 0.5000]],
  "n_ef_per_ev_atom": 0.35,
  "polymorph_energy_ev_per_atom": 0.0958,
  "m_tot_mub_per_fu": 0.00,
  "delta_e_f_ev_per_atom": -0.29,
  "volume_a3_per_atom": 22.4
}